(1)
PrCd9Rh2: relaxed, GGA-PBE.

**Symmetry**: I4_1/amd
**Formation enthalpy at 0 K**: -0.16 eV per atom
**Fermi-level density of states**: 17.19 states/eV/cell
**Calculated density**: 8.769 g cm⁻³

Unit cell a=7.5990 b=9.0630 c=9.0630 alpha=79.88 beta=65.21 gamma=65.21
With the nearest neighbours (Å) after each atom.
Element x y z (fractional)
Pr1 0.5000 0.0000 0.0000  18 Cd 3.59-3.80
Pr2 0.2500 0.5000 0.5000  18 Cd 3.59-3.80
Cd1 0.7500 0.5000 0.5000  4 Rh 3.06, 8 Cd 3.09
Cd2 0.0000 0.0000 0.0000  4 Rh 3.06, 8 Cd 3.09
Cd3 0.0081 0.9202 0.6787  6 Cd 2.81-3.09, 2 Rh 2.82-2.85
Cd4 0.6069 0.0798 0.3213  6 Cd 2.81-3.09, 2 Rh 2.82-2.85
Cd5 0.6783 0.1787 0.5798  6 Cd 2.81-3.09, 2 Rh 2.82-2.85
Cd6 0.4367 0.8213 0.4202  6 Cd 2.81-3.09, 2 Rh 2.82-2.85
Cd7 0.7419 0.8213 0.5798  6 Cd 2.81-3.09, 2 Rh 2.82-2.85
Cd8 0.1431 0.1787 0.4202  6 Cd 2.81-3.09, 2 Rh 2.82-2.85
Cd9 0.0717 0.9202 0.3213  6 Cd 2.81-3.09, 2 Rh 2.82-2.85
Cd10 0.3133 0.0798 0.6787  6 Cd 2.81-3.09, 2 Rh 2.82-2.85
Cd11 0.7419 0.5798 0.8213  6 Cd 2.81-3.09, 2 Rh 2.82-2.85
Cd12 0.1431 0.4202 0.1787  6 Cd 2.81-3.09, 2 Rh 2.82-2.85
Cd13 0.0717 0.3213 0.9202  6 Cd 2.81-3.09, 2 Rh 2.82-2.85
Cd14 0.3133 0.6787 0.0798  6 Cd 2.81-3.09, 2 Rh 2.82-2.85
Cd15 0.0081 0.6787 0.9202  6 Cd 2.81-3.09, 2 Rh 2.82-2.85
Cd16 0.6069 0.3213 0.0798  6 Cd 2.81-3.09, 2 Rh 2.82-2.85
Cd17 0.6783 0.5798 0.1787  6 Cd 2.81-3.09, 2 Rh 2.82-2.85
Cd18 0.4367 0.4202 0.8213  6 Cd 2.81-3.09, 2 Rh 2.82-2.85
Rh1 0.8750 0.2500 0.7500  10 Cd 2.82-3.06
Rh2 0.8750 0.7500 0.2500  10 Cd 2.82-3.06
Rh3 0.8750 0.2500 0.2500  10 Cd 2.82-3.06
Rh4 0.3750 0.7500 0.7500  10 Cd 2.82-3.06



(2)
MnIrAu: relaxed, GGA-PBE.

**Symmetry**: Cm
**Formation enthalpy at 0 K**: 0.15 eV per atom
**ΔE to the lowest computed polymorph**: 28 kJ/mol of formula units
**Fermi-level density of states**: 3.94 states/eV/cell
**Calculated density**: 15.619 g cm⁻³

Unit cell a=2.8102 b=2.8101 c=13.9082 alpha=84.06 beta=90.00 gamma=60.00
With the nearest neighbours (Å) after each atom.
Element x y z (fractional)
Au1 0.6666 0.5383 0.3121  3 Mn 2.80, 9 Au 2.81-3.09
Au2 0.9352 0.0005 0.1214  3 Mn 2.81, 9 Au 2.81-3.09
Mn1 0.3889 0.0939 0.4774  3 Ir 2.58, 3 Au 2.80, 6 Mn 2.81
Mn2 0.5456 0.7797 0.9556  3 Ir 2.58, 3 Au 2.81, 6 Mn 2.81
Ir1 0.7717 0.3286 0.6230  3 Mn 2.58, 7 Ir 2.58-2.81
Ir2 0.8299 0.2113 0.8101  3 Mn 2.58, 7 Ir 2.58-2.81



(3)
GaAgPbF6: relaxed, GGA-PBE.

**Symmetry**: P4_2nm
**Raw formation energy**: -2.20 eV/atom
**Fermi-level density of states**: 0.00 states/eV/cell
**Calculated density**: 5.570 g cm⁻³

Unit cell a=5.3142 b=5.3142 c=10.5316 alpha=90.00 beta=90.00 gamma=90.00
With the nearest neighbours (Å) after each atom.
Element x y z (fractional)
Ga1 0.5000 0.5000 0.8334  6 F 1.92-1.94
Ga2 0.0000 0.0000 0.3334  6 F 1.92-1.94
Ag1 0.5000 0.5000 0.4948  6 F 2.45-2.53
Ag2 0.0000 0.0000 0.9948  6 F 2.45-2.53
Pb1 0.5000 0.5000 0.1734  6 F 2.45-2.53
Pb2 0.0000 0.0000 0.6734  6 F 2.45-2.53
F1 0.1757 0.8243 0.4690  1 Ga 1.94
F2 0.8243 0.1757 0.4690  1 Ga 1.94
F3 0.3243 0.3243 0.9690  1 Ga 1.94
F4 0.6757 0.6757 0.9690  1 Ga 1.94
F5 0.1765 0.8235 0.1995  1 Ga 1.94
F6 0.8235 0.1765 0.1995  1 Ga 1.94
F7 0.3235 0.3235 0.6995  1 Ga 1.94
F8 0.6765 0.6765 0.6995  1 Ga 1.94
F9 0.7561 0.2439 0.8307  1 Ga 1.92
F10 0.2439 0.7561 0.8307  1 Ga 1.92
F11 0.7439 0.7439 0.3307  1 Ga 1.92
F12 0.2561 0.2561 0.3307  1 Ga 1.92